VReO5 after structural relaxation. Source: Alexandria via LeMat-Bulk, functional PBE with a Hubbard U.

Calculated values
Size of the total moment, μB per atom: 0.20
Uncorrected energy, eV/f.u.: -55.9
Symmetry: Immm

Lattice parameters (Å, degrees): 5.2168 5.2168 5.2168 138.90 105.56 88.75
Closest atoms and distances in Å follow each position.
Fractional coordinates of all 7 atoms:
V 0.0000 0.0000 0.0000  2 O 1.81
Re 0.5000 0.5000 0.0000  6 O 1.83-1.92
O 0.1961 0.5000 0.6961  1 Re 1.92
O 0.2421 0.2421 0.0000  1 V 1.81, 1 Re 1.92
O 0.5000 0.0000 0.5000  2 Re 1.83
O 0.7579 0.7579 0.0000  1 V 1.81, 1 Re 1.92
O 0.8039 0.5000 0.3039  1 Re 1.92